This record from Alexandria via LeMat-Bulk describes HoSi2Ni at its PBEsol-relaxed geometry. The functional is SCAN.

Cell and atoms, written as CIF:
```
data_HoSi2Ni
_chemical_formula_sum 'Ho4 Si8 Ni4'
_space_group_name_H-M_alt 'C m c m'
_space_group_IT_number 63
_space_group_name_Hall '-C 2c 2'
_cell_length_a 3.9309
_cell_length_b 16.2156
_cell_length_c 3.9240
_cell_angle_alpha 90.00
_cell_angle_beta 90.00
_cell_angle_gamma 90.00
loop_
_atom_site_label
_atom_site_type_symbol
_atom_site_fract_x
_atom_site_fract_y
_atom_site_fract_z
Ho1 Ho 0.0000 0.1055 0.2500
Si1 Si 0.0000 0.2500 0.7500
Si2 Si 0.0000 0.4598 0.2500
Ni1 Ni 0.0000 0.3225 0.2500
```

Values from the calculation:
The formation energy from raw total energies is -0.87 eV per atom. The calculation puts the total moment at 0.0 μB per formula unit. The volume is 63 Å³/f.u. The value obtained for the density of states at the Fermi level is 1.37 states/eV/f.u.